Entry 1:
Material: Eu12Hg3Cl5
Method: DFT, PBE
State: relaxed

Total DFT energy (no corrections) (eV/atom): -7.555
V (A^3/atom): 36.25
Uncorrected formation energy (eV/atom): -0.884

Geometry as extended XYZ:
```
80
Lattice="-8.984 8.984 8.984 8.984 -8.984 8.984 8.984 8.984 -8.984" Properties=species:S:1:pos:R:3 pbc="T T T"
Eu 2.720 -0.459 1.228
Eu 10.756 5.720 -4.951
Eu 8.525 -1.228 2.720
Eu 13.935 -1.772 3.264
Eu 11.704 0.459 1.228
Eu 10.756 -3.264 4.951
Eu 1.228 2.720 -0.459
Eu 12.248 4.033 -1.772
Eu 5.720 4.951 -1.772
Eu 7.756 2.720 0.459
Eu -0.459 1.228 2.720
Eu 4.951 -1.772 5.720
Eu 8.525 7.756 -2.720
Eu 4.951 1.772 3.264
Eu 7.756 -2.720 8.525
Eu 5.720 -4.951 10.756
Eu 3.264 4.951 1.772
Eu 10.212 6.264 0.459
Eu 2.720 8.525 -1.228
Eu 10.756 3.264 4.033
Eu 4.951 10.756 -3.264
Eu 8.525 1.228 6.264
Eu 1.772 3.264 4.951
Eu 2.720 0.459 7.756
Eu 6.264 8.525 1.228
Eu 7.212 5.720 4.033
Eu 0.459 7.756 2.720
Eu 4.033 -1.772 12.248
Eu -1.772 5.720 4.951
Eu 6.264 0.459 10.212
Eu -1.228 2.720 8.525
Eu 5.720 4.033 7.212
Eu 3.264 13.935 -1.772
Eu 1.228 11.704 0.459
Eu 4.033 7.212 5.720
Eu 0.459 1.228 11.704
Eu 4.033 10.756 3.264
Eu 9.443 7.756 6.264
Eu 1.228 6.264 8.525
Eu 3.264 4.033 10.756
Eu -3.264 4.951 10.756
Eu 7.756 6.264 9.443
Eu -1.772 12.248 4.033
Eu -2.720 8.525 7.756
Eu -4.951 10.756 5.720
Eu 0.459 10.212 6.264
Eu -1.772 3.264 13.935
Eu 6.264 9.443 7.756
Hg 4.492 2.246 0.000
Hg 8.984 4.492 -2.246
Hg 2.246 0.000 4.492
Hg 11.230 0.000 4.492
Hg 0.000 4.492 2.246
Hg 4.492 -2.246 8.984
Hg 4.492 11.230 0.000
Hg 8.984 4.492 6.738
Hg -2.246 8.984 4.492
Hg 6.738 8.984 4.492
Hg 0.000 4.492 11.230
Hg 4.492 6.738 8.984
Cl 0.000 0.000 0.000
Cl 4.492 4.492 -4.492
Cl 4.492 -4.492 4.492
Cl 8.984 0.000 0.000
Cl 13.476 2.246 0.000
Cl 8.984 -4.492 6.738
Cl 6.738 8.984 -4.492
Cl 6.738 0.000 4.492
Cl 4.492 6.738 0.000
Cl 8.984 4.492 2.246
Cl -4.492 4.492 4.492
Cl 0.000 8.984 0.000
Cl 0.000 0.000 8.984
Cl 4.492 4.492 4.492
Cl 0.000 4.492 6.738
Cl 4.492 2.246 8.984
Cl 2.246 8.984 4.492
Cl 2.246 0.000 13.476
Cl 0.000 13.476 2.246
Cl -4.492 6.738 8.984
```

---

Entry 2:
Material: Eu3Hg5Cl12
Method: DFT, PBE
State: relaxed

Total DFT energy (no corrections) (eV/atom): -3.876
V (A^3/atom): 32.03
Uncorrected formation energy (eV/atom): -1.151

Geometry as extended XYZ:
```
80
Lattice="-8.620 8.620 8.620 8.620 -8.620 8.620 8.620 8.620 -8.620" Properties=species:S:1:pos:R:3 pbc="T T T"
Eu 4.310 2.155 0.000
Eu 8.620 4.310 -2.155
Eu 2.155 0.000 4.310
Eu 10.776 0.000 4.310
Eu 0.000 4.310 2.155
Eu 4.310 -2.155 8.620
Eu 4.310 10.776 0.000
Eu 8.620 4.310 6.465
Eu -2.155 8.620 4.310
Eu 6.465 8.620 4.310
Eu 0.000 4.310 10.776
Eu 4.310 6.465 8.620
Hg 0.000 0.000 0.000
Hg 4.310 4.310 -4.310
Hg 4.310 -4.310 4.310
Hg 8.620 0.000 0.000
Hg 12.931 2.155 0.000
Hg 8.620 -4.310 6.465
Hg 6.465 8.620 -4.310
Hg 6.465 0.000 4.310
Hg 4.310 6.465 0.000
Hg 8.620 4.310 2.155
Hg -4.310 4.310 4.310
Hg 0.000 8.620 0.000
Hg 0.000 0.000 8.620
Hg 4.310 4.310 4.310
Hg 0.000 4.310 6.465
Hg 4.310 2.155 8.620
Hg 2.155 8.620 4.310
Hg 2.155 0.000 12.931
Hg 0.000 12.931 2.155
Hg -4.310 6.465 8.620
Cl 2.882 -0.408 1.230
Cl 10.049 5.541 -4.718
Cl 11.503 0.408 1.230
Cl 10.049 -3.080 4.718
Cl 8.213 -1.230 2.882
Cl 13.338 -1.428 3.080
Cl 1.230 2.882 -0.408
Cl 11.700 3.903 -1.428
Cl 5.541 4.718 -1.428
Cl 7.390 2.882 0.408
Cl -0.408 1.230 2.882
Cl 4.718 -1.428 5.541
Cl 8.213 7.390 -2.882
Cl 4.718 1.428 3.080
Cl 5.541 -4.718 10.049
Cl 7.390 -2.882 8.213
Cl 3.080 4.718 1.428
Cl 9.851 5.738 0.408
Cl 4.718 10.049 -3.080
Cl 8.213 1.230 5.738
Cl 2.882 8.213 -1.230
Cl 10.049 3.080 3.903
Cl 1.428 3.080 4.718
Cl 2.882 0.408 7.390
Cl 5.738 8.213 1.230
Cl 7.192 5.541 3.903
Cl -1.428 5.541 4.718
Cl 5.738 0.408 9.851
Cl 0.408 7.390 2.882
Cl 3.903 -1.428 11.700
Cl -1.230 2.882 8.213
Cl 5.541 3.903 7.192
Cl 1.230 11.503 0.408
Cl 3.080 13.338 -1.428
Cl 3.903 7.192 5.541
Cl 0.408 1.230 11.503
Cl 3.903 10.049 3.080
Cl 9.028 7.390 5.738
Cl 1.230 5.738 8.213
Cl 3.080 3.903 10.049
Cl -3.080 4.718 10.049
Cl 7.390 5.738 9.028
Cl -4.718 10.049 5.541
Cl 0.408 9.851 5.738
Cl -1.428 11.700 3.903
Cl -2.882 8.213 7.390
Cl -1.428 3.080 13.338
Cl 5.738 9.028 7.390
```

---

Entry 3:
Material: Eu2HgCl
Method: DFT, PBE
State: relaxed

Energy above the most stable polymorph in this dataset (eV/atom): 0.000
Total DFT energy (no corrections) (eV/atom): -6.729
V (A^3/atom): 30.96
Uncorrected formation energy (eV/atom): -1.055

Geometry as extended XYZ:
```
4
Lattice="2.120 1.224 7.956 -2.120 1.224 7.956 0.000 -2.448 7.956" Properties=species:S:1:pos:R:3 pbc="T T T"
Eu 0.000 0.000 5.882
Eu 0.000 0.000 17.985
Hg 0.000 0.000 0.000
Cl 0.000 0.000 11.933
```